#i
The following is a DFT calculation (PBE-GGA) of an optimized crystal structure of GdAgAu.

extended XYZ file:
```
3
Lattice="-1.463 3.394 0.768 -2.090 -1.523 2.749 5.183 -0.151 1.265" Properties=species:S:1:pos:R:3 pbc="T T T"
Au 1.939 0.446 1.721
Ag -0.962 1.123 2.482
Gd 1.260 1.634 4.455
```

* magnetic moment: 2.36 μB per atom
* D(E_F): 1.66 states/eV/cell

#ii
The following is a DFT calculation (PBE-GGA) of an optimized crystal structure of GdAgAu.

extended XYZ file:
```
3
Lattice="4.776 0.000 0.000 2.388 4.136 0.000 2.388 1.379 3.900" Properties=species:S:1:pos:R:3 pbc="T T T"
Au 2.388 1.379 0.975
Gd 0.000 0.000 0.000
Ag 4.776 2.758 1.950
```

* magnetic moment: 2.37 μB per atom
* D(E_F): 2.96 states/eV/cell

The least stable of them is #ii.